Entry 1:
PBE-GGA HgW2Br, relaxed; formation energy without anion corrections = 1006 meV per atom; space-group type = Pm (6); calculated total energy = -0.219 hartree per atom; total magnetic moment = 0.0 μB per formula unit; volume = 76.8 Å³/cell; polymorph energy (0 for the lowest one) = 614 meV per atom
1.0
2.9374 0.0000 0.0000
0.0000 4.5642 0.0000
-1.3039 0.0000 5.7314
Hg W Br
1 2 1
Direct
0.0000 0.0000 0.0000
0.1872 0.0000 0.4911
0.6883 0.5000 0.3147
0.3672 0.5000 0.7013

Entry 2:
PBE-GGA HgWBr2, relaxed; formation energy without anion corrections = 1117 meV per atom; space-group type = Cmmm (65); calculated total energy = -0.111 hartree per atom; total magnetic moment = 2.5 μB per formula unit; volume = 90.4 Å³/cell; polymorph energy (0 for the lowest one) = 911 meV per atom
1.0
3.1608 -4.2322 0.0000
3.1608 4.2322 0.0000
0.0000 0.0000 3.3788
Hg W Br
1 1 2
Direct
0.0000 0.0000 0.0000
0.5000 0.5000 0.0000
0.0000 0.5000 0.5000
0.5000 0.0000 0.5000

Entry 3:
PBE-GGA HgWBr5, relaxed; formation energy without anion corrections = -317 meV per atom; space-group type = Imma (74); calculated total energy = -0.125 hartree per atom; total magnetic moment = 1.0 μB per formula unit; volume = 519.4 Å³/cell
1.0
-4.3848 4.8564 6.0983
4.3848 -4.8564 6.0983
4.3848 4.8564 -6.0983
Hg W Br
2 2 10
Direct
0.3920 0.1420 0.2500
0.6080 0.8580 0.7500
0.0000 0.5000 0.5000
0.5000 0.5000 0.0000
0.0000 0.2168 0.2168
0.0000 0.7832 0.7832
0.1201 0.6935 0.4266
0.2331 0.3065 0.9266
0.3294 0.5794 0.7500
0.5000 0.2168 0.7168
0.5000 0.7832 0.2832
0.6706 0.4206 0.2500
0.7669 0.6935 0.0734
0.8799 0.3065 0.5734

Entry 4:
PBE-GGA HgWBr2, relaxed; formation energy without anion corrections = 1172 meV per atom; space-group type = Fm-3m (225); calculated total energy = -0.109 hartree per atom; total magnetic moment = 0.0 μB per formula unit; volume = 83.4 Å³/cell; polymorph energy (0 for the lowest one) = 966 meV per atom
1.0
0.0000 3.4680 3.4680
3.4680 0.0000 3.4680
3.4680 3.4680 0.0000
Hg W Br
1 1 2
Direct
0.0000 0.0000 0.0000
0.5000 0.5000 0.5000
0.2500 0.2500 0.2500
0.7500 0.7500 0.7500

Entry 5:
PBE-GGA HgW2Br, relaxed; formation energy without anion corrections = 998 meV per atom; space-group type = P2/m (10); calculated total energy = -0.219 hartree per atom; total magnetic moment = 0.0 μB per formula unit; volume = 92.0 Å³/cell; polymorph energy (0 for the lowest one) = 606 meV per atom
1.0
3.3940 0.0000 0.0000
0.0000 4.9471 0.0000
-0.7285 0.0000 5.4777
Hg W Br
1 2 1
Direct
0.0000 0.0000 0.0000
0.3021 0.5000 0.1603
0.6979 0.5000 0.8397
0.5000 0.0000 0.5000

Entry 6:
PBE-GGA HgWBr2, relaxed; formation energy without anion corrections = 1046 meV per atom; space-group type = C2/m (12); calculated total energy = -0.114 hartree per atom; total magnetic moment = 1.6 μB per formula unit; volume = 89.8 Å³/cell; polymorph energy (0 for the lowest one) = 840 meV per atom
1.0
3.1500 -4.8503 0.0000
3.1500 4.8503 0.0000
-1.1946 0.0000 2.9388
Hg W Br
1 1 2
Direct
0.0000 0.0000 0.0000
0.5000 0.5000 0.0000
0.0000 0.5000 0.0000
0.5000 0.0000 0.0000

Entry 7:
PBE-GGA HgW2Br, relaxed; formation energy without anion corrections = 1173 meV per atom; space-group type = Cmmm (65); calculated total energy = -0.213 hartree per atom; total magnetic moment = 0.0 μB per formula unit; volume = 75.3 Å³/cell; polymorph energy (0 for the lowest one) = 781 meV per atom
1.0
1.4331 -2.6946 0.0000
1.4331 2.6946 0.0000
0.0000 0.0000 9.7435
Hg W Br
1 2 1
Direct
0.0000 0.0000 0.0000
0.5000 0.5000 0.2592
0.5000 0.5000 0.7408
0.0000 0.0000 0.5000

Entry 8:
PBE-GGA HgWBr2, relaxed; formation energy without anion corrections = 508 meV per atom; space-group type = Cmm2 (35); calculated total energy = -0.134 hartree per atom; total magnetic moment = 0.9 μB per formula unit; volume = 99.5 Å³/cell; polymorph energy (0 for the lowest one) = 302 meV per atom
1.0
1.5887 -3.0665 0.0000
1.5887 3.0665 0.0000
0.0000 0.0000 10.2147
Hg W Br
1 1 2
Direct
0.0000 0.0000 0.0000
0.5000 0.5000 0.7706
0.0000 0.0000 0.5764
0.5000 0.5000 0.2199

Entry 9:
PBE-GGA HgW2Br, relaxed; formation energy without anion corrections = 1461 meV per atom; space-group type = P4/mmm (123); calculated total energy = -0.202 hartree per atom; total magnetic moment = 0.0 μB per formula unit; volume = 70.6 Å³/cell; polymorph energy (0 for the lowest one) = 1069 meV per atom
1.0
4.8169 0.0000 0.0000
0.0000 4.8169 0.0000
0.0000 0.0000 3.0428
Hg W Br
1 2 1
Direct
0.0000 0.0000 0.0000
0.0000 0.5000 0.5000
0.5000 0.0000 0.5000
0.5000 0.5000 0.0000

Entry 10:
PBE-GGA HgWBr2, relaxed; formation energy without anion corrections = 206 meV per atom; space-group type = Pm (6); calculated total energy = -0.145 hartree per atom; total magnetic moment = 1.0 μB per formula unit; volume = 114.7 Å³/cell; polymorph energy (0 for the lowest one) = 0 meV per atom
1.0
4.8434 0.0000 0.0000
0.0000 3.2026 0.0000
-2.4093 0.0000 7.3922
Hg W Br
1 1 2
Direct
0.0000 0.0000 0.0000
0.4784 0.5000 0.9567
0.3419 0.0000 0.6822
0.6440 0.5000 0.2891

Entry 11:
PBE-GGA HgW2Br, relaxed; formation energy without anion corrections = 1042 meV per atom; space-group type = R-3m (166); calculated total energy = -0.218 hartree per atom; total magnetic moment = 0.0 μB per formula unit; volume = 71.4 Å³/cell; polymorph energy (0 for the lowest one) = 650 meV per atom
1.0
1.4989 0.8654 9.1741
-1.4989 0.8654 9.1741
0.0000 -1.7308 9.1741
Hg W Br
1 2 1
Direct
0.0000 0.0000 0.0000
0.2465 0.2465 0.2465
0.7535 0.7535 0.7535
0.5000 0.5000 0.5000

Entry 12:
PBE-GGA HgW2Br, relaxed; formation energy without anion corrections = 1470 meV per atom; space-group type = Fm-3m (225); calculated total energy = -0.202 hartree per atom; total magnetic moment = 0.0 μB per formula unit; volume = 70.1 Å³/cell; polymorph energy (0 for the lowest one) = 1078 meV per atom
1.0
0.0000 3.2727 3.2727
3.2727 0.0000 3.2727
3.2727 3.2727 0.0000
Hg W Br
1 2 1
Direct
0.0000 0.0000 0.0000
0.2500 0.2500 0.2500
0.7500 0.7500 0.7500
0.5000 0.5000 0.5000

- Look up the formation energy without anion corrections of the ninth one.
  1461 meV per atom

Copy entry 12 word for word.
PBE-GGA HgW2Br, relaxed; formation energy without anion corrections = 1470 meV per atom; space-group type = Fm-3m (225); calculated total energy = -0.202 hartree per atom; total magnetic moment = 0.0 μB per formula unit; volume = 70.1 Å³/cell; polymorph energy (0 for the lowest one) = 1078 meV per atom
1.0
0.0000 3.2727 3.2727
3.2727 0.0000 3.2727
3.2727 3.2727 0.0000
Hg W Br
1 2 1
Direct
0.0000 0.0000 0.0000
0.2500 0.2500 0.2500
0.7500 0.7500 0.7500
0.5000 0.5000 0.5000